one.
5
Lattice="5.981 0.000 0.000 0.000 5.981 0.000 0.000 0.000 4.059" Properties=species:S:1:pos:R:3 comment="LaAgI2N, relaxed, DFT PBE" sg="No. 123" dos_at_fermi_per_ev_fu=4.5 pbc="T T T"
I 2.991 0.000 0.000
Ag 0.000 0.000 0.000
La 2.991 2.991 2.029
I 0.000 2.991 0.000
N 0.000 0.000 2.029

=====

two.
5
Lattice="-2.882 5.640 -1.398 -3.849 -0.685 5.176 2.793 2.008 2.343" Properties=species:S:1:pos:R:3 comment="LaAgI2N, relaxed, DFT PBE" sg="No. 123" dos_at_fermi_per_ev_fu=2.6 pbc="T T T"
I -1.441 2.820 -0.699
La 0.000 0.000 0.000
I -1.925 -0.342 2.588
N 1.397 1.004 1.172
Ag -1.969 3.482 3.061

=====

Question: which arrangement is favored energetically? Ranking from most to least stable: two, one.

=====

one.
5
Lattice="5.329 0.000 0.000 0.000 5.329 0.000 0.000 0.000 5.755" Properties=species:S:1:pos:R:3 comment="LaAgSb2I, relaxed, DFT PBE" sg="No. 123" dos_at_fermi_per_ev_fu=3.4 pbc="T T T"
Sb 0.000 2.665 0.000
Ag 0.000 0.000 0.000
La 2.665 2.665 2.877
Sb 2.665 0.000 0.000
I 0.000 0.000 2.877

=====

two.
5
Lattice="-1.773 4.366 -3.945 0.218 -4.069 -4.601 -5.883 -1.468 1.020" Properties=species:S:1:pos:R:3 comment="LaAgSb2I, relaxed, DFT PBE" sg="No. 123" dos_at_fermi_per_ev_fu=4.4 pbc="T T T"
I -2.942 -0.734 0.510
La 0.000 0.000 0.000
Sb 0.109 -2.035 -2.300
Ag -3.719 -0.585 -3.763
Sb -0.887 2.183 -1.973

=====

Question: which arrangement is favored energetically? Ranking from most to least stable: one, two.

=====

one.
3
Lattice="-2.280 1.581 2.482 -3.994 -1.478 -2.729 1.847 -3.015 3.617" Properties=species:S:1:pos:R:3 comment="LiAgI, relaxed, DFT PBE" sg="No. 156" dos_at_fermi_per_ev_fu=1.4 pbc="T T T"
Ag -0.458 -2.254 1.892
Li -3.613 -0.905 1.090
I -0.356 0.247 0.388

=====

two.
6
Lattice="0.287 3.532 1.439 -2.846 1.188 -2.349 -5.129 -14.257 5.427" Properties=species:S:1:pos:R:3 comment="LiAgI, relaxed, DFT PBE" sg="No. 2" dos_at_fermi_per_ev_fu=0.3 pbc="T T T"
Li -1.217 -1.829 2.132
Ag -4.148 -3.473 1.685
Ag -3.540 -6.064 2.832
Li -6.471 -7.708 2.385
I -1.894 0.738 1.050
I -5.794 -10.275 3.468

=====

Question: which arrangement is favored energetically? Ranking from most to least stable: two, one.